[1]
Material: GaHgRuS
Method: DFT, PBE
State: optimized geometry

a b c (Å): 3.0352 3.1457 8.2995
angles (deg): 90.00 90.29 90.00
Space group Pm (No. 6)
Inequivalent atoms, fractional coordinates:
Ga 0.0000 0.0000 0.0000 x1
Hg 0.9995 0.0000 0.6744 x1
Ru 0.5027 0.5000 0.1705 x1
S 0.0054 0.5000 0.3724 x1

Theoretical density ... 8.5 g/cm³
Uncorrected formation energy ... -0.0723 eV/atom
E above lowest polymorph ... 72 meV per atom
Density of states at the Fermi level ... 1.30 states/eV/cell

[2]
Material: TaMnRe2
Method: DFT, PBE
State: optimized geometry

a b c (Å): 4.3692 4.3692 3.1806
angles (deg): 90.00 90.00 90.00
Space group P4/mmm (No. 123)
Inequivalent atoms, fractional coordinates:
Ta 0.0000 0.0000 0.0000 x1
Mn 0.5000 0.5000 0.0000 x1
Re 0.0000 0.5000 0.5000 x2

Theoretical density ... 16.6 g/cm³
ΔE_f ... -8 kJ per mole of atoms
Density of states at the Fermi level ... 3.51 states/eV/cell

[3]
Material: Pr3Dy2TmS6
Method: DFT, PBE
State: optimized geometry

a b c (Å): 6.8381 11.8786 7.0495
angles (deg): 90.00 108.95 90.00
Space group C2/m (No. 12)
Inequivalent atoms, fractional coordinates:
Pr 0.0000 0.0000 0.0000 x2
Pr 0.0000 0.3316 0.0000 x4
Dy 0.0000 0.1667 0.5000 x4
Tm 0.0000 0.5000 0.5000 x2
S 0.2407 0.3352 0.7282 x8
S 0.2470 0.0000 0.7297 x4

Theoretical density ... 6.8 g/cm³
Uncorrected formation energy ... -2.0075 eV/atom
Density of states at the Fermi level ... 9.92 states/eV/cell

[4]
Material: Ba3Sr5Cd2
Method: DFT, PBE
State: optimized geometry

a b c (Å): 13.7795 13.7795 5.2944
angles (deg): 90.00 90.00 90.00
Space group P4/mbm (No. 127)
Inequivalent atoms, fractional coordinates:
Ba 0.0000 0.0000 0.0000 x2
Ba 0.1728 0.3272 0.0000 x4
Sr 0.0000 0.5000 0.5000 x2
Sr 0.0706 0.7820 0.5000 x8
Cd 0.1193 0.6193 0.0000 x4

Theoretical density ... 3.6 g/cm³
ΔE_f ... -9 kJ per mole of atoms
Density of states at the Fermi level ... 28.28 states/eV/cell

[5]
Material: Mg2InAgBr6
Method: DFT, PBE
State: optimized geometry

a b c (Å): 14.4062 14.0774 7.7936
angles (deg): 90.00 110.16 90.00
Space group C2/c (No. 15)
Inequivalent atoms, fractional coordinates:
Mg 0.1901 0.0746 0.2012 x8
In 0.0000 0.3852 0.2500 x4
Ag 0.0000 0.2700 0.7500 x4
Br 0.1237 0.4262 0.6833 x8
Br 0.1278 0.2366 0.0767 x8
Br 0.1286 0.0591 0.4721 x8

Theoretical density ... 3.4 g/cm³
Uncorrected formation energy ... -1.0350 eV/atom
Density of states at the Fermi level ... 0.00 states/eV/cell

[6]
Material: Si2TcNi
Method: DFT, PBE
State: optimized geometry

a b c (Å): 3.1653 3.1653 5.0832
angles (deg): 90.00 90.00 90.00
Space group P4mm (No. 99)
Inequivalent atoms, fractional coordinates:
Si 0.0000 0.0000 0.0000 x1
Si 0.5000 0.5000 0.2896 x1
Tc 0.0000 0.0000 0.4888 x1
Ni 0.5000 0.5000 0.8260 x1

Theoretical density ... 6.9 g/cm³
Uncorrected formation energy ... -0.4271 eV/atom
Density of states at the Fermi level ... 3.34 states/eV/cell

[7]
Material: LiDy4ScS8
Method: DFT, PBE
State: optimized geometry

a b c (Å): 7.9824 7.9824 19.1213
angles (deg): 90.00 90.00 120.00
Space group R3m (No. 160, hexagonal axes)
Inequivalent atoms, fractional coordinates:
Li 0.0000 0.0000 0.0000 x3
Dy 0.0000 0.0000 0.2478 x3
Dy 0.1724 0.3447 0.4574 x9
Sc 0.0000 0.0000 0.6320 x3
S 0.0000 0.0000 0.3831 x3
S 0.0000 0.0000 0.8701 x3
S 0.0248 0.5124 0.3734 x9
S 0.1819 0.3638 0.2094 x9

Theoretical density ... 4.5 g/cm³
Uncorrected formation energy ... -1.9370 eV/atom
Density of states at the Fermi level ... 0.00 states/eV/cell

[8]
Material: Dy2CdNi
Method: DFT, PBE
State: optimized geometry

a b c (Å): 7.1398 7.1398 7.1398
angles (deg): 90.00 90.00 90.00
Space group Fm-3m (No. 225)
Inequivalent atoms, fractional coordinates:
Dy 0.2500 0.2500 0.2500 x8
Cd 0.0000 0.0000 0.0000 x4
Ni 0.0000 0.0000 0.5000 x4

Theoretical density ... 9.1 g/cm³
E above lowest polymorph ... 103 meV per atom
ΔE_f ... -26 kJ per mole of atoms
Density of states at the Fermi level ... 10.03 states/eV/cell

[9]
Material: ZnTe2
Method: DFT, PBE
State: optimized geometry

a b c (Å): 7.6979 7.6979 5.0434
angles (deg): 90.00 90.00 120.00
Space group P-62m (No. 189)
Inequivalent atoms, fractional coordinates:
Zn 0.0000 0.0000 0.0000 x1
Zn 0.3333 0.6667 0.5000 x2
Te 0.0000 0.3075 0.5000 x3
Te 0.0000 0.6631 0.0000 x3

Theoretical density ... 6.2 g/cm³
Uncorrected formation energy ... 0.1091 eV/atom
Density of states at the Fermi level ... 6.04 states/eV/cell

[10]
Material: PrCoSi
Method: DFT, PBE
State: optimized geometry

a b c (Å): 4.0174 4.0174 7.2483
angles (deg): 90.00 90.00 90.00
Space group P4/nmm (No. 129, origin choice 2)
Inequivalent atoms, fractional coordinates:
Pr 0.2500 0.2500 0.1878 x2
Co 0.2500 0.7500 0.5000 x2
Si 0.2500 0.2500 0.6625 x2

Theoretical density ... 6.5 g/cm³
Uncorrected formation energy ... -0.6683 eV/atom
Density of states at the Fermi level ... 3.63 states/eV/cell

[11]
Material: KCa2Al
Method: DFT, PBE
State: optimized geometry

a b c (Å): 3.8970 6.4616 12.4360
angles (deg): 90.00 90.00 90.00
Space group Immm (No. 71)
Inequivalent atoms, fractional coordinates:
K 0.0000 0.0000 0.0000 x2
Ca 0.0000 0.5000 0.1994 x4
Al 0.0000 0.0000 0.5000 x2

Theoretical density ... 1.6 g/cm³
ΔE_f ... 13 kJ per mole of atoms
Density of states at the Fermi level ... 5.75 states/eV/cell

[12]
Material: TbCeBiI
Method: DFT, PBE
State: optimized geometry

a b c (Å): 7.7973 7.7973 7.7973
angles (deg): 90.00 90.00 90.00
Space group F-43m (No. 216)
Inequivalent atoms, fractional coordinates:
Tb 0.0000 0.0000 0.0000 x4
Ce 0.0000 0.0000 0.5000 x4
Bi 0.2500 0.2500 0.2500 x4
I 0.2500 0.2500 0.7500 x4

Theoretical density ... 8.9 g/cm³
Uncorrected formation energy ... -0.7256 eV/atom
Density of states at the Fermi level ... 31.78 states/eV/cell

[13]
Material: RbAl2TePd
Method: DFT, PBE
State: optimized geometry

a b c (Å): 5.8102 5.8102 5.1043
angles (deg): 90.00 90.00 90.00
Space group P4/mmm (No. 123)
Inequivalent atoms, fractional coordinates:
Rb 0.0000 0.0000 0.0000 x1
Al 0.0000 0.5000 0.5000 x2
Te 0.5000 0.5000 0.5000 x1
Pd 0.5000 0.5000 0.0000 x1

Theoretical density ... 3.6 g/cm³
Uncorrected formation energy ... 0.4180 eV/atom
Density of states at the Fermi level ... 3.54 states/eV/cell

[14]
Material: La12TbNd6
Method: DFT, PBE
State: optimized geometry

a b c (Å): 15.4526 15.4526 10.0130
angles (deg): 90.00 90.00 120.00
Space group R-3m (No. 166, hexagonal axes)
Inequivalent atoms, fractional coordinates:
La 0.0000 0.2834 0.0000 x18
La 0.0800 0.1600 0.8099 x18
Tb 0.0000 0.0000 0.5000 x3
Nd 0.0844 0.5422 0.1112 x18

Theoretical density ... 6.5 g/cm³
E above lowest polymorph ... 54 meV per atom
ΔE_f ... 15 kJ per mole of atoms
Density of states at the Fermi level ... 94.08 states/eV/cell

[15]
Material: IrOsSCl2
Method: DFT, PBE
State: optimized geometry

a b c (Å): 4.8675 4.8675 4.5375
angles (deg): 90.00 90.00 90.00
Space group P4/mmm (No. 123)
Inequivalent atoms, fractional coordinates:
Ir 0.0000 0.0000 0.0000 x1
Os 0.5000 0.5000 0.5000 x1
S 0.0000 0.0000 0.5000 x1
Cl 0.0000 0.5000 0.0000 x2

Theoretical density ... 7.5 g/cm³
Uncorrected formation energy ... 1.3478 eV/atom
E above lowest polymorph ... 74 meV per atom
Density of states at the Fermi level ... 4.55 states/eV/cell

[16]
Material: ScAsI
Method: DFT, PBE
State: optimized geometry

a b c (Å): 7.2274 13.5163 3.8315
angles (deg): 90.00 121.79 90.00
Space group C2/m (No. 12)
Inequivalent atoms, fractional coordinates:
Sc 0.0000 0.1226 0.0000 x4
As 0.2015 0.0000 0.7162 x4
I 0.0000 0.2933 0.5000 x4

Theoretical density ... 5.2 g/cm³
Uncorrected formation energy ... -0.9784 eV/atom
Density of states at the Fermi level ... 2.10 states/eV/cell

[17]
Material: HfInCu2Ir
Method: DFT, PBE
State: optimized geometry

a b c (Å): 4.6738 4.6738 5.3932
angles (deg): 90.00 90.00 90.00
Space group P4/mmm (No. 123)
Inequivalent atoms, fractional coordinates:
Hf 0.0000 0.0000 0.0000 x1
In 0.0000 0.0000 0.5000 x1
Cu 0.0000 0.5000 0.0000 x2
Ir 0.5000 0.5000 0.5000 x1

Theoretical density ... 8.6 g/cm³
ΔE_f ... 173 kJ per mole of atoms
Density of states at the Fermi level ... 7.27 states/eV/cell

[18]
Material: YMg2Pd2
Method: DFT, PBE
State: optimized geometry

a b c (Å): 4.7839 4.7839 5.4407
angles (deg): 90.00 90.00 120.00
Space group P-3m1 (No. 164)
Inequivalent atoms, fractional coordinates:
Y 0.0000 0.0000 0.0000 x1
Mg 0.3333 0.6667 0.3587 x2
Pd 0.3333 0.6667 0.8494 x2

Theoretical density ... 5.4 g/cm³
E above lowest polymorph ... 16 meV per atom
ΔE_f ... -59 kJ per mole of atoms
Density of states at the Fermi level ... 2.17 states/eV/cell

[19]
Material: Ac4RhSeBr2
Method: DFT, PBE
State: optimized geometry

a b c (Å): 8.0917 4.2950 8.2434
angles (deg): 90.00 107.37 90.00
Space group P2/m (No. 10)
Inequivalent atoms, fractional coordinates:
Ac 0.2109 0.0000 0.2015 x2
Ac 0.2495 0.5000 0.7844 x2
Rh 0.0000 0.5000 0.0000 x1
Se 0.5000 0.0000 0.0000 x1
Br 0.0000 0.0000 0.5000 x1
Br 0.5000 0.5000 0.5000 x1

Theoretical density ... 7.6 g/cm³
Uncorrected formation energy ... -1.2874 eV/atom
Density of states at the Fermi level ... 6.06 states/eV/cell

[20]
Material: YAs2Pt
Method: DFT, PBE
State: optimized geometry

a b c (Å): 4.1482 4.0739 5.1345
angles (deg): 90.00 98.05 90.00
Space group P2/m (No. 10)
Inequivalent atoms, fractional coordinates:
Y 0.0000 0.0000 0.0000 x1
As 0.3682 0.5000 0.7570 x2
Pt 0.5000 0.0000 0.5000 x1

Theoretical density ... 8.4 g/cm³
ΔE_f ... -75 kJ per mole of atoms
Density of states at the Fermi level ... 1.50 states/eV/cell

For reference, uncorrected energy by record: -17.0; -46.3; -76.9; -16.9; -29.2; -28.7; -86.8; -17.0; -7.2; -19.3; -8.3; -18.9; -14.7; -89.3; -21.2; -15.5; -20.8; -23.1; -40.9; -24.9 eV/f.u..